No. 1
A plane-wave DFT calculation with GGA-PBE was carried out for Ti2Nb7W2 after structural relaxation. Values from VASP.

Geometry as Quantum ESPRESSO input:
```
&SYSTEM
  ibrav = 0, nat = 11, ntyp = 3
/
ATOMIC_SPECIES
Ti 47.87 Ti.upf
Nb 92.91 Nb.upf
W 183.84 W.upf
CELL_PARAMETERS angstrom
2.8115 -4.5593 0.0000
2.8115 4.5593 0.0000
-0.2801 0.0000 7.8976
ATOMIC_POSITIONS angstrom
Ti 2.8115 2.3694 0.0000
Ti 2.8115 -2.3694 0.0000
Nb -0.1401 0.0000 3.9488
Nb 1.9486 2.1040 2.6419
Nb 1.5799 0.0000 6.5648
Nb 3.3943 2.1040 5.2557
Nb 1.9486 -2.1040 2.6419
Nb 3.7631 0.0000 1.3328
Nb 3.3943 -2.1040 5.2557
W 0.9135 0.0000 1.3033
W 4.4294 0.0000 6.5943
```

Summary:
The polymorph energy (0 for the lowest one) is 0.000 eV per formula unit. The calculation puts the size of the total moment at 0.00 Bohr magnetons per cell. The value obtained for the calculated formation energy is 0.2010 eV per atom.

***

No. 2
A plane-wave DFT calculation with GGA-PBE was carried out for HfPbO3 after structural relaxation. Values from VASP.

Geometry as Quantum ESPRESSO input:
```
&SYSTEM
  ibrav = 0, nat = 20, ntyp = 3
/
ATOMIC_SPECIES
Hf 178.49 Hf.upf
Pb 207.20 Pb.upf
O 16.00 O.upf
CELL_PARAMETERS angstrom
7.3056 0.0000 0.0000
0.0000 5.7527 0.0000
-4.7625 0.0000 6.8493
ATOMIC_POSITIONS angstrom
Hf 1.2327 1.1180 0.8571
Hf -1.1486 1.7583 4.2818
Hf 3.6917 3.9944 2.5675
Hf 1.3104 4.6347 5.9922
Pb 0.2044 4.3164 2.6840
Pb -2.1769 4.3127 6.1087
Pb 4.7200 1.4401 0.7406
Pb 2.3387 1.4363 4.1653
O -1.9352 3.9885 3.7349
O 0.4461 4.6406 0.3103
O -0.0242 1.4342 2.5246
O -2.4055 1.4422 5.9492
O -0.0380 0.1314 5.0586
O 2.3432 2.7449 1.6340
O 0.1999 3.0078 5.2153
O 2.5811 5.6213 1.7907
O 4.9486 4.3106 0.9001
O 2.5674 4.3185 4.3247
O 2.0970 1.1121 6.5390
O 4.4783 1.7643 3.1144
```

Summary:
The calculation puts the size of the total moment at 0.00 Bohr magnetons per cell. The uncorrected formation energy is -2.380 eV/atom.

***

One value per record, in order, for VASP energy: -9.998; -8.088 eV per atom.
One value per record, in order, for V: 202.5; 287.9 Å³/cell.